(1)
4
Lattice="4.342 0.000 0.000 2.171 3.760 0.000 2.171 1.253 3.545" Properties=species:S:1:pos:R:3 comment="PBE-GGA MgZnIrRh, relaxed" e_form_mev_per_atom=-304 spacegroup="F-43m (216)" total_magnetization_mub_per_fu=0.00 pbc="T T T"
Ir 0.000 0.000 0.000
Zn 6.513 3.760 2.659
Mg 2.171 1.253 0.886
Rh 4.342 2.507 1.773

(2)
20
Lattice="3.915 0.000 0.000 0.000 9.030 0.000 0.000 0.000 9.030" Properties=species:S:1:pos:R:3 comment="PBE-GGA Mg2Zn5Ir2Rh, relaxed" e_form_mev_per_atom=-285 spacegroup="P4/mbm (127)" total_magnetization_mub_per_fu=0.00 pbc="T T T"
Ir 0.000 1.132 5.647
Mg 0.000 7.486 6.059
Zn 1.958 1.752 0.648
Zn 1.958 5.163 6.267
Mg 0.000 1.544 2.971
Mg 0.000 2.971 7.486
Zn 1.958 8.382 1.752
Zn 1.958 7.278 8.382
Zn 1.958 2.763 5.163
Ir 0.000 5.647 7.898
Mg 0.000 6.059 1.544
Rh 0.000 4.515 4.515
Zn 1.958 4.515 0.000
Zn 1.958 3.867 2.763
Zn 1.958 0.648 7.278
Rh 0.000 0.000 0.000
Ir 0.000 7.898 3.383
Zn 1.958 0.000 4.515
Ir 0.000 3.383 1.132
Zn 1.958 6.267 3.867

(3)
8
Lattice="3.871 0.000 0.000 0.000 3.871 0.000 0.000 0.000 7.791" Properties=species:S:1:pos:R:3 comment="PBE-GGA MgIr6Ru, relaxed" e_form_mev_per_atom=-112 spacegroup="P4/mmm (123)" total_magnetization_mub_per_fu=0.00 pbc="T T T"
Ir 0.000 1.936 5.785
Mg 0.000 0.000 0.000
Ir 0.000 1.936 2.006
Ir 1.936 1.936 0.000
Ir 1.936 1.936 3.895
Ir 1.936 0.000 5.785
Ir 1.936 0.000 2.006
Ru 0.000 0.000 3.895

(4)
11
Lattice="0.748 -4.199 0.835 6.878 1.587 1.821 -5.569 2.164 4.555" Properties=species:S:1:pos:R:3 comment="PBE-GGA Mg8Ir2Ru, relaxed" e_form_mev_per_atom=-220 spacegroup="Immm (71)" total_magnetization_mub_per_fu=0.00 pbc="T T T"
Ir 2.739 1.136 3.256
Mg 2.565 -0.696 5.509
Mg 2.146 0.495 0.568
Mg -0.508 0.248 1.702
Ir -0.682 -1.583 3.956
Mg 1.782 -1.382 2.764
Mg 0.274 0.934 4.448
Mg -0.089 -0.943 6.643
Ru 0.374 -2.099 0.418
Mg 4.752 -0.696 3.550
Mg -2.695 0.249 3.662

(5)
10
Lattice="-4.539 3.462 -3.012 -4.517 -4.122 2.069 -0.525 2.299 3.434" Properties=species:S:1:pos:R:3 comment="PBE-GGA Mg2Ir2Ru, relaxed" e_form_mev_per_atom=3 spacegroup="P4/mbm (127)" de_polymorph_ev_per_fu=0.00 total_magnetization_mub_per_fu=0.00 pbc="T T T"
Ru -4.528 -0.330 -0.472
Mg -5.481 2.666 -0.096
Mg -4.100 -1.026 2.587
Ir -3.475 1.643 -1.632
Ir -6.795 0.392 -1.302
Mg -2.528 1.558 1.097
Ru 0.000 0.000 0.000
Ir -2.261 -1.051 0.358
Mg -7.053 0.082 1.393
Ir -5.581 -2.303 0.688

(6)
5
Lattice="-1.800 1.800 6.474 1.800 -1.800 6.474 1.800 1.800 -6.474" Properties=species:S:1:pos:R:3 comment="PBE-GGA Mg2Ir2Ru, relaxed" e_form_mev_per_atom=591 spacegroup="I4/mmm (139)" de_polymorph_ev_per_fu=2.94 total_magnetization_mub_per_fu=2.04 pbc="T T T"
Mg 1.800 0.000 3.237
Ru 0.000 0.000 0.000
Ir 0.000 0.000 7.742
Ir 0.000 0.000 5.206
Mg 0.000 1.800 3.237

(7)
5
Lattice="4.709 0.000 0.000 0.000 4.709 0.000 0.000 0.000 4.709" Properties=species:S:1:pos:R:3 comment="PBE-GGA MgIr3Ru, relaxed" e_form_mev_per_atom=1403 spacegroup="Pm-3m (221)" de_polymorph_ev_per_fu=0.00 total_magnetization_mub_per_fu=0.00 pbc="T T T"
Ir 2.355 0.000 0.000
Ir 0.000 0.000 2.355
Ir 0.000 2.355 0.000
Ru 0.000 0.000 0.000
Mg 2.355 2.355 2.355

(8)
4
Lattice="4.488 0.000 0.000 2.244 3.886 0.000 2.244 1.295 3.664" Properties=species:S:1:pos:R:3 comment="PBE-GGA MgSbIrRu, relaxed" total_energy_ev_per_atom=-6.21 spacegroup="F-43m (216)" total_magnetization_mub_per_fu=0.00 pbc="T T T"
Sb 0.000 0.000 0.000
Ru 2.244 1.295 0.916
Ir 6.731 3.886 2.748
Mg 4.488 2.591 1.832